Entry 1:
# K3V2InF9, optimized geometry, DFT GGA+U
# * D(E_F): 4.21 states/eV/f.u.
# * raw total energy: -77.39 eV per cell
data_K3V2InF9
_cell_length_a 5.9815
_cell_length_b 5.9815
_cell_length_c 8.4110
_cell_angle_alpha 90.00
_cell_angle_beta 90.00
_cell_angle_gamma 120.00
_symmetry_space_group_name_H-M 'P -3 m 1'
_symmetry_Int_Tables_number 164
_symmetry_space_group_name_Hall '-P 3 2"'
loop_
_atom_site_label
_atom_site_type_symbol
_atom_site_fract_x
_atom_site_fract_y
_atom_site_fract_z
K1 K 0.0000 0.0000 0.0000
K2 K 0.3333 0.6667 0.7146
V1 V 0.3333 0.6667 0.1431
In1 In 0.0000 0.0000 0.5000
F1 F 0.0000 0.5000 0.0000
F2 F 0.1730 0.3460 0.2735

Entry 2:
# K2VInF6, optimized geometry, DFT GGA+U
# * D(E_F): 0.00 states/eV/f.u.
# * raw total energy: -50.10 eV per cell
data_K2VInF6
_cell_length_a 6.1508
_cell_length_b 6.2765
_cell_length_c 6.3127
_cell_angle_alpha 62.55
_cell_angle_beta 62.32
_cell_angle_gamma 62.51
_symmetry_space_group_name_H-M 'P -1'
_symmetry_Int_Tables_number 2
loop_
_symmetry_equiv_pos_as_xyz
'x,y,z'
'-x,-y,-z'
loop_
_atom_site_label
_atom_site_type_symbol
_atom_site_fract_x
_atom_site_fract_y
_atom_site_fract_z
K1 K 0.2459 0.2394 0.2300
V1 V 0.0000 0.0000 0.0000
In1 In 0.5000 0.5000 0.5000
F1 F 0.1070 0.8192 0.3075
F2 F 0.2170 0.6986 0.8816
F3 F 0.3004 0.1314 0.8200

Entry 3:
# KInWF6, optimized geometry, DFT GGA+U
# * D(E_F): 6.53 states/eV/f.u.
# * raw total energy: -88.93 eV per cell
data_KInWF6
_cell_length_a 6.5942
_cell_length_b 6.5942
_cell_length_c 9.3314
_cell_angle_alpha 90.00
_cell_angle_beta 90.00
_cell_angle_gamma 120.00
_symmetry_space_group_name_H-M 'P -3 1 c'
_symmetry_Int_Tables_number 163
_symmetry_space_group_name_Hall '-P 3 2c'
loop_
_atom_site_label
_atom_site_type_symbol
_atom_site_fract_x
_atom_site_fract_y
_atom_site_fract_z
K1 K 0.3333 0.6667 0.2500
In1 In 0.0000 0.0000 0.0000
W1 W 0.3333 0.6667 0.7500
F1 F 0.0745 0.4082 0.6330